No. 1
Here is crystalline BeNiTe3 at its relaxed geometry from the Alexandria database. Energies are from PBE-GGA.

* calculated total energy: -2.998 eV per atom
* magnetization: 0.73 μB per cell
* ΔE to the lowest computed polymorph: 0.098 eV/f.u.

a b c (Å): 4.879 4.879 4.879
angles (deg): 90.00 90.00 90.00
Site moments in Bohr magnetons follow the coordinates.
Element x y z (fractional)
Ni1 0.500 0.500 0.500  0.63
Te1 0.000 0.500 0.000  0.03
Te2 0.000 0.000 0.500  0.04
Te3 0.500 0.000 0.000  0.02
Be1 0.000 0.000 0.000  -0.01

---

No. 2
Here is crystalline BeNiTe2 at its relaxed geometry from the Alexandria database. Energies are from PBE-GGA.

* calculated total energy: -3.526 eV per atom
* magnetization: 0.00 μB per cell

a b c (Å): 5.118 5.118 5.118
angles (deg): 138.49 106.74 87.88
Element x y z (fractional)
Ni1 0.250 0.750 0.500
Te1 0.990 0.990 0.000
Te2 0.510 0.510 0.000
Be1 0.750 0.250 0.500